(1)
A plane-wave DFT calculation with PBE-GGA was carried out for a relaxed YHW2 crystal.

abc: 5.7320 5.7320 8.0806
angles: 90.00 90.00 90.00
Space group I4_1/amd (No. 141, origin choice 2)
Unique sites:
1 Y 0.0000 0.2500 0.3750 x4
2 H 0.0000 0.2500 0.8750 x4
3 W 0.0000 0.0000 0.0000 x8

Summary:
The calculation puts the total energy at -8.697 eV per atom. For the volume, the calculation gives 265.5 Å³ per cell. The calculation puts the magnetic moment at 0.00 Bohr magnetons per cell. For the density of states at the Fermi level, the calculation gives 0.422 states/eV per atom.

***

(2)
A plane-wave DFT calculation with PBE-GGA was carried out for a relaxed Pr3Zn9In2 crystal.

abc: 4.5832 9.0865 13.8132
angles: 90.00 90.00 90.00
Space group Immm (No. 71)
Unique sites:
1 Pr 0.0000 0.0000 0.0000 x2
2 Pr 0.0000 0.0000 0.2918 x4
3 Zn 0.0000 0.2770 0.1481 x8
4 Zn 0.0000 0.3641 0.3387 x8
5 Zn 0.0000 0.5000 0.0000 x2
6 In 0.0000 0.1922 0.5000 x4

Summary:
The calculation puts the total energy at -2.559 eV per atom. For the volume, the calculation gives 575.3 Å³ per cell. The calculation puts the magnetic moment at 0.00 Bohr magnetons per cell. As for the formation energy from the elements: -324 meV/atom. For the density of states at the Fermi level, the calculation gives 0.520 states/eV per atom.

***

(3)
A plane-wave DFT calculation with PBE-GGA was carried out for a relaxed SrMoP crystal.

abc: 4.1285 4.1285 4.7578
angles: 90.00 90.00 120.00
Space group P-6m2 (No. 187)
Unique sites:
1 Sr 0.0000 0.0000 0.0000 x1
2 Mo 0.3333 0.6667 0.5000 x1
3 P 0.6667 0.3333 0.5000 x1

Summary:
The calculation puts the total energy at -6.172 eV per atom. For the volume, the calculation gives 70.2 Å³ per cell. The calculation puts the magnetic moment at 0.00 Bohr magnetons per cell. As for the formation energy from the elements: -198 meV/atom. For the density of states at the Fermi level, the calculation gives 0.704 states/eV per atom.

***

(4)
A plane-wave DFT calculation with PBE-GGA was carried out for a relaxed ScCdBr2 crystal.

abc: 3.4964 5.5798 13.6152
angles: 90.00 90.00 90.00
Space group Immm (No. 71)
Unique sites:
1 Sc 0.0000 0.0000 0.0000 x2
2 Cd 0.0000 0.0000 0.5000 x2
3 Br 0.0000 0.5000 0.3507 x4

Summary:
The calculation puts the total energy at -3.559 eV per atom. For the volume, the calculation gives 265.6 Å³ per cell. The calculation puts the magnetic moment at 0.62 Bohr magnetons per cell. The calculation puts the raw formation energy at -910 meV per atom. For the density of states at the Fermi level, the calculation gives 0.680 states/eV per atom.

***

(5)
A plane-wave DFT calculation with PBE-GGA was carried out for a relaxed MgReW3 crystal.

abc: 4.7964 4.7964 4.7964
angles: 90.00 90.00 90.00
Space group Pm-3m (No. 221)
Unique sites:
1 Mg 0.0000 0.0000 0.0000 x1
2 Re 0.5000 0.5000 0.5000 x1
3 W 0.0000 0.5000 0.5000 x3

Summary:
The calculation puts the total energy at -8.754 eV per atom. For the volume, the calculation gives 110.3 Å³ per cell. The calculation puts the magnetic moment at 0.00 Bohr magnetons per cell. As for the formation energy from the elements: 1826 meV/atom. For the density of states at the Fermi level, the calculation gives 1.291 states/eV per atom.

***

(6)
A plane-wave DFT calculation with PBE-GGA was carried out for a relaxed CsNbSe2N crystal.

abc: 5.3911 5.3911 4.0959
angles: 90.00 90.00 90.00
Space group P4/mmm (No. 123)
Unique sites:
1 Cs 0.0000 0.0000 0.0000 x1
2 Nb 0.5000 0.5000 0.5000 x1
3 Se 0.0000 0.5000 0.5000 x2
4 N 0.5000 0.5000 0.0000 x1

Summary:
The calculation puts the total energy at -5.616 eV per atom. For the volume, the calculation gives 119.0 Å³ per cell. The calculation puts the magnetic moment at 0.92 Bohr magnetons per cell. The calculation puts the raw formation energy at -373 meV per atom. For the density of states at the Fermi level, the calculation gives 0.757 states/eV per atom.

***

(7)
A plane-wave DFT calculation with PBE-GGA was carried out for a relaxed ScBeMo2 crystal.

abc: 3.2156 3.2156 6.1108
angles: 90.00 90.00 90.00
Space group P4/mmm (No. 123)
Unique sites:
1 Sc 0.0000 0.0000 0.0000 x1
2 Be 0.0000 0.0000 0.5000 x1
3 Mo 0.5000 0.5000 0.3127 x2

Summary:
The calculation puts the total energy at -7.834 eV per atom. For the volume, the calculation gives 63.2 Å³ per cell. The calculation puts the magnetic moment at 0.00 Bohr magnetons per cell. As for the formation energy from the elements: 95 meV/atom. For the density of states at the Fermi level, the calculation gives 1.067 states/eV per atom.

***

(8)
A plane-wave DFT calculation with PBE-GGA was carried out for a relaxed BaLiTe2I crystal.

abc: 5.1682 5.1682 6.3502
angles: 90.00 90.00 90.00
Space group P4/mmm (No. 123)
Unique sites:
1 Ba 0.0000 0.0000 0.0000 x1
2 Li 0.5000 0.5000 0.5000 x1
3 Te 0.0000 0.5000 0.5000 x2
4 I 0.5000 0.5000 0.0000 x1

Summary:
The calculation puts the total energy at -3.263 eV per atom. For the volume, the calculation gives 169.6 Å³ per cell. The calculation puts the magnetic moment at 0.00 Bohr magnetons per cell. The calculation puts the raw formation energy at -929 meV per atom. For the density of states at the Fermi level, the calculation gives 0.356 states/eV per atom.

***

(9)
A plane-wave DFT calculation with PBE-GGA was carried out for a relaxed AlSi2Sn2 crystal.

abc: 6.4047 6.4047 5.4843
angles: 90.00 90.00 90.00
Space group P4/mbm (No. 127)
Unique sites:
1 Al 0.0000 0.0000 0.0000 x2
2 Si 0.1295 0.3705 0.0000 x4
3 Sn 0.2017 0.2983 0.5000 x4

Summary:
The calculation puts the total energy at -4.288 eV per atom. For the volume, the calculation gives 225.0 Å³ per cell. The calculation puts the magnetic moment at 0.00 Bohr magnetons per cell. The calculation puts the raw formation energy at 231 meV per atom. For the density of states at the Fermi level, the calculation gives 0.492 states/eV per atom.

***

(10)
A plane-wave DFT calculation with PBE-GGA was carried out for a relaxed MgPaNiIr crystal.

abc: 6.6073 6.6073 6.6073
angles: 90.00 90.00 90.00
Space group F-43m (No. 216)
Unique sites:
1 Mg 0.0000 0.0000 0.0000 x4
2 Pa 0.0000 0.0000 0.5000 x4
3 Ni 0.2500 0.2500 0.7500 x4
4 Ir 0.2500 0.2500 0.2500 x4

Summary:
The calculation puts the total energy at -6.881 eV per atom. For the volume, the calculation gives 288.5 Å³ per cell. The calculation puts the magnetic moment at 0.00 Bohr magnetons per cell. As for the formation energy from the elements: -448 meV/atom. For the density of states at the Fermi level, the calculation gives 1.221 states/eV per atom.

***

(11)
A plane-wave DFT calculation with PBE-GGA was carried out for a relaxed Tb4SmY6 crystal.

abc: 5.7280 9.6855 25.8220
angles: 90.00 90.00 90.00
Space group Cmcm (No. 63)
Unique sites:
1 Tb 0.0000 0.0248 0.1210 x8
2 Tb 0.0000 0.3410 0.0422 x8
3 Sm 0.0000 0.3182 0.7500 x4
4 Y 0.0000 0.0000 0.0000 x4
5 Y 0.0000 0.0158 0.2500 x4
6 Y 0.0000 0.3139 0.6030 x8
7 Y 0.0000 0.3526 0.1810 x8

Summary:
The calculation puts the total energy at -5.521 eV per atom. For the volume, the calculation gives 1432.6 Å³ per cell. The calculation puts the magnetic moment at 0.00 Bohr magnetons per cell. As for the formation energy from the elements: 118 meV/atom. For the density of states at the Fermi level, the calculation gives 1.867 states/eV per atom.

***

(12)
A plane-wave DFT calculation with PBE-GGA was carried out for a relaxed PmAl4Cu6 crystal.

abc: 6.9132 6.9132 4.0822
angles: 90.00 90.00 120.00
Space group P-6m2 (No. 187)
Unique sites:
1 Pm 0.0000 0.0000 0.0000 x1
2 Al 0.3333 0.6667 0.0000 x1
3 Al 0.3963 0.1981 0.5000 x3
4 Cu 0.2097 0.4194 0.5000 x3
5 Cu 0.5396 0.0792 0.0000 x3

Summary:
The calculation puts the total energy at -4.287 eV per atom. For the volume, the calculation gives 169.0 Å³ per cell. The calculation puts the magnetic moment at 0.00 Bohr magnetons per cell. As for the formation energy from the elements: -260 meV/atom. For the density of states at the Fermi level, the calculation gives 0.347 states/eV per atom.

***

> Among the records above, which one has the lowest density of states at the Fermi level?

PmAl4Cu6

***

Please write out number 1 again, unchanged.
A plane-wave DFT calculation with PBE-GGA was carried out for a relaxed YHW2 crystal.

abc: 5.7320 5.7320 8.0806
angles: 90.00 90.00 90.00
Space group I4_1/amd (No. 141, origin choice 2)
Unique sites:
1 Y 0.0000 0.2500 0.3750 x4
2 H 0.0000 0.2500 0.8750 x4
3 W 0.0000 0.0000 0.0000 x8

Summary:
The calculation puts the total energy at -8.697 eV per atom. For the volume, the calculation gives 265.5 Å³ per cell. The calculation puts the magnetic moment at 0.00 Bohr magnetons per cell. For the density of states at the Fermi level, the calculation gives 0.422 states/eV per atom.

***

> Which formula does entry 5 have?

MgReW3